No. 1
# PmPr5As6

PmPr5As6 after structural relaxation (PBE-GGA, Alexandria via LeMat-Bulk).

Summary:
The formation energy from the elements is -1.5052 eV per atom. The spin magnetization is 0.0000 μB/atom.

Lattice parameters (Å, degrees): 7.443 7.444 7.442 59.99 80.40 70.52
Positions (direct):
As (0.751, 0.083, 0.331)
As (0.751, 0.414, 0.669)
As (0.249, 0.248, 0.000)
As (0.751, 0.752, 0.000)
As (0.249, 0.586, 0.331)
As (0.249, 0.917, 0.669)
Pr (0.500, 0.833, 0.334)
Pr (0.000, 0.667, 0.667)
Pr (0.500, 0.167, 0.666)
Pr (0.000, 0.333, 0.333)
Pr (0.500, 0.500, 0.000)
Pm (0.000, 0.000, 0.000)

---

No. 2
# PmPrAs2

PmPrAs2 after structural relaxation (PBE-GGA, Alexandria via LeMat-Bulk).

Summary:
The formation energy from the elements is -1.3545 eV per atom. The spin magnetization is 0.0000 μB/atom. Its energy above the lowest structure with this stoichiometry is 160 meV/atom.

Lattice parameters (Å, degrees): 4.229 4.229 7.683 74.02 74.02 60.00
Positions (direct):
As (0.250, 0.250, 0.251)
As (0.084, 0.084, 0.749)
Pr (0.669, 0.669, 0.993)
Pm (0.498, 0.498, 0.507)

---

No. 3
# PmPr4As5

PmPr4As5 after structural relaxation (PBE-GGA, Alexandria via LeMat-Bulk).

Summary:
The formation energy from the elements is -1.5053 eV per atom. The spin magnetization is 0.0000 μB/atom.

Lattice parameters (Å, degrees): 4.299 6.070 11.360 105.50 100.91 90.00
Positions (direct):
Pr (0.801, 0.801, 0.601)
Pr (0.199, 0.199, 0.399)
Pr (0.400, 0.400, 0.801)
Pr (0.600, 0.600, 0.199)
As (0.200, 0.700, 0.400)
As (0.800, 0.300, 0.600)
As (0.000, 0.500, 0.000)
As (0.598, 0.098, 0.197)
As (0.402, 0.902, 0.803)
Pm (0.000, 0.000, 0.000)

---

No. 4
# Pm2PrAs

Pm2PrAs after structural relaxation (PBE-GGA, Alexandria via LeMat-Bulk).

Summary:
The formation energy from the elements is -0.6281 eV per atom. The spin magnetization is 0.0056 μB/atom. Its energy above the lowest structure with this stoichiometry is 0 meV/atom.

Lattice parameters (Å, degrees): 3.993 3.993 9.827 78.28 78.28 60.00
Positions (direct):
As (0.666, 0.666, 0.001)
Pr (0.500, 0.500, 0.499)
Pm (0.272, 0.272, 0.184)
Pm (0.062, 0.062, 0.815)

---

No. 5
# Pm2PrAs

Pm2PrAs after structural relaxation (PBE-GGA, Alexandria via LeMat-Bulk).

Summary:
The formation energy from the elements is -0.5481 eV per atom. The spin magnetization is 0.0001 μB/atom. Its energy above the lowest structure with this stoichiometry is 80 meV/atom.

Lattice parameters (Å, degrees): 3.867 3.867 7.817 90.00 90.00 90.00
Positions (direct):
Pr (0.500, 0.500, 0.500)
As (0.500, 0.500, 0.000)
Pm (0.000, 0.000, 0.198)
Pm (0.000, 0.000, 0.802)

---

No. 6
# PmPrAs2

PmPrAs2 after structural relaxation (PBE-GGA, Alexandria via LeMat-Bulk).

Summary:
The formation energy from the elements is -1.5132 eV per atom. The spin magnetization is 0.0000 μB/atom. Its energy above the lowest structure with this stoichiometry is 1 meV/atom.

Lattice parameters (Å, degrees): 4.276 4.276 7.397 73.18 73.18 60.01
Positions (direct):
Pm (0.000, 0.000, 0.000)
As (0.251, 0.251, 0.246)
As (0.749, 0.749, 0.754)
Pr (0.500, 0.500, 0.500)

---

No. 7
# Pm2PrAs

Pm2PrAs after structural relaxation (PBE-GGA, Alexandria via LeMat-Bulk).

Summary:
The formation energy from the elements is -0.6197 eV per atom. The spin magnetization is 0.0000 μB/atom. Its energy above the lowest structure with this stoichiometry is 8 meV/atom.

Lattice parameters (Å, degrees): 3.975 3.975 9.912 78.43 78.43 60.00
Positions (direct):
Pm (0.272, 0.272, 0.184)
Pm (0.728, 0.728, 0.816)
As (0.000, 0.000, 0.000)
Pr (0.500, 0.500, 0.500)

---

No. 8
# PmPr3As3

PmPr3As3 after structural relaxation (PBE-GGA, Alexandria via LeMat-Bulk).

Summary:
The formation energy from the elements is -1.2653 eV per atom. The spin magnetization is 0.0000 μB/atom.

Lattice parameters (Å, degrees): 9.086 9.086 9.086 90.00 90.00 90.00
Positions (direct):
Pr (0.316, 0.816, 0.684)
Pr (0.317, 0.183, 0.817)
Pr (0.066, 0.434, 0.566)
Pr (0.817, 0.317, 0.183)
Pr (0.566, 0.066, 0.434)
Pr (0.184, 0.184, 0.184)
Pr (0.183, 0.817, 0.317)
Pr (0.816, 0.684, 0.316)
Pr (0.934, 0.934, 0.934)
Pr (0.683, 0.683, 0.683)
Pr (0.434, 0.566, 0.066)
Pr (0.684, 0.316, 0.816)
As (0.248, 0.126, 0.501)
As (0.752, 0.626, 0.999)
As (0.374, 0.499, 0.748)
As (0.999, 0.752, 0.626)
As (0.126, 0.501, 0.248)
As (0.874, 0.001, 0.252)
As (0.252, 0.874, 0.001)
As (0.001, 0.252, 0.874)
As (0.501, 0.248, 0.126)
As (0.748, 0.374, 0.499)
As (0.499, 0.748, 0.374)
As (0.626, 0.999, 0.752)
Pm (0.566, 0.934, 0.066)
Pm (0.434, 0.434, 0.434)
Pm (0.934, 0.066, 0.566)
Pm (0.066, 0.566, 0.934)